A plane-wave DFT calculation with PBE was carried out for Cs2HI7 after structural relaxation.

Space group   I4/mmm (139)
Electronic total energy   -0.080 Ha/atom

Unit cell a=8.6536 b=8.6536 c=8.6536 alpha=116.63 beta=116.63 gamma=95.94
Last column: nearest neighbours and their distance in Å.
Fractional coordinates of all 10 atoms:
Cs 0.2500 0.7500 0.5000  12 I 4.33-4.65
Cs 0.7500 0.2500 0.5000  12 I 4.33-4.65
H 0.0000 0.0000 0.0000  2 I 1.92
I 0.1661 0.1661 0.0000  1 H 1.92
I 0.2701 0.2701 0.5403  1 I 2.95
I 0.2701 0.7299 0.0000  1 I 2.95
I 0.5000 0.5000 0.0000  4 I 2.95
I 0.7299 0.2701 0.0000  1 I 2.95
I 0.7299 0.7299 0.4597  1 I 2.95
I 0.8339 0.8339 0.0000  1 H 1.92

=====

A plane-wave DFT calculation with PBE was carried out for NaTmZnAu after structural relaxation.

Space group   F-43m (216)
Energy of formation   -0.31 eV/atom

Unit cell a=6.9760 b=6.9760 c=6.9760 alpha=90.00 beta=90.00 gamma=90.00
Last column: nearest neighbours and their distance in Å.
Fractional coordinates of all 16 atoms:
Na 0.0000 0.0000 0.0000  4 Zn 3.02, 4 Au 3.02
Na 0.0000 0.5000 0.5000  4 Zn 3.02, 4 Au 3.02
Na 0.5000 0.0000 0.5000  4 Zn 3.02, 4 Au 3.02
Na 0.5000 0.5000 0.0000  4 Zn 3.02, 4 Au 3.02
Tm 0.0000 0.0000 0.5000  4 Zn 3.02, 4 Au 3.02
Tm 0.0000 0.5000 0.0000  4 Zn 3.02, 4 Au 3.02
Tm 0.5000 0.0000 0.0000  4 Zn 3.02, 4 Au 3.02
Tm 0.5000 0.5000 0.5000  4 Au 3.02, 4 Zn 3.02
Zn 0.2500 0.2500 0.7500  4 Na 3.02, 4 Tm 3.02
Zn 0.2500 0.7500 0.2500  4 Na 3.02, 4 Tm 3.02
Zn 0.7500 0.2500 0.2500  4 Na 3.02, 4 Tm 3.02
Zn 0.7500 0.7500 0.7500  4 Na 3.02, 4 Tm 3.02
Au 0.2500 0.2500 0.2500  4 Na 3.02, 4 Tm 3.02
Au 0.2500 0.7500 0.7500  4 Na 3.02, 4 Tm 3.02
Au 0.7500 0.2500 0.7500  4 Na 3.02, 4 Tm 3.02
Au 0.7500 0.7500 0.2500  4 Na 3.02, 4 Tm 3.02

=====

A plane-wave DFT calculation with PBE was carried out for VB3Pd after structural relaxation.

Space group   Pm-3m (221)
Energy of formation   1.49 eV/atom

Unit cell a=4.0065 b=4.0065 c=4.0065 alpha=90.00 beta=90.00 gamma=90.00
Last column: nearest neighbours and their distance in Å.
Fractional coordinates of all 5 atoms:
V 0.0000 0.0000 0.0000  12 B 2.83
B 0.0000 0.5000 0.5000  2 Pd 2.00
B 0.5000 0.0000 0.5000  2 Pd 2.00
B 0.5000 0.5000 0.0000  2 Pd 2.00
Pd 0.5000 0.5000 0.5000  6 B 2.00

=====

A plane-wave DFT calculation with PBE was carried out for La4Ho2Er5 after structural relaxation.

Space group   C2/m (12)
Energy relative to the lowest polymorph listed for this composition   0.167 eV/atom
Energy of formation   0.22 eV/atom

Unit cell a=12.3548 b=12.3548 c=8.7920 alpha=100.48 beta=100.48 gamma=16.51
Last column: nearest neighbours and their distance in Å.
Fractional coordinates of all 11 atoms:
La 0.0291 0.0291 0.1936  2 Er 3.41, 5 La 3.44-3.55, 1 Ho 3.60
La 0.3704 0.3704 0.9651  5 Er 3.40-3.78, 4 La 3.52-3.55, 2 Ho 3.54
La 0.6296 0.6296 0.0349  5 Er 3.40-3.78, 4 La 3.52-3.55, 2 Ho 3.54
La 0.9709 0.9709 0.8064  2 Er 3.41, 5 La 3.44-3.55, 1 Ho 3.60
Ho 0.1028 0.1028 0.6807  4 Er 3.16-3.47, 2 La 3.54
Ho 0.8972 0.8972 0.3193  4 Er 3.16-3.47, 2 La 3.54
Er 0.1877 0.1877 0.4047  1 Ho 3.47, 7 Er 3.55-3.67, 2 La 3.75
Er 0.2310 0.2310 0.8269  1 Ho 3.16, 1 La 3.40, 2 Er 3.50
Er 0.5000 0.5000 0.5000  4 Ho 3.24, 4 La 3.41, 2 Er 3.55
Er 0.7690 0.7690 0.1731  1 Ho 3.16, 1 La 3.40, 2 Er 3.50
Er 0.8123 0.8123 0.5953  1 Ho 3.47, 7 Er 3.55-3.67, 2 La 3.75

=====

A plane-wave DFT calculation with PBE was carried out for Th5UN6 after structural relaxation.

Space group   C2/m (12)
ΔE_f (raw)   -1.5193 eV/atom

Unit cell a=6.2653 b=6.2653 c=6.2630 alpha=99.67 beta=99.67 gamma=119.86
Last column: nearest neighbours and their distance in Å.
Fractional coordinates of all 12 atoms:
Th 0.0000 0.0000 0.0000  6 N 2.58-2.70
Th 0.1662 0.8338 0.5000  6 N 2.55-2.58
Th 0.3321 0.6679 0.0000  6 N 2.55-2.74
Th 0.6679 0.3321 0.0000  6 N 2.55-2.74
Th 0.8338 0.1662 0.5000  6 N 2.55-2.58
U 0.5000 0.5000 0.5000  6 N 2.37-2.43
N 0.1136 0.4245 0.2711  1 U 2.37, 4 Th 2.55-2.58
N 0.2674 0.2674 0.7412  1 U 2.43, 5 Th 2.55-2.70
N 0.4245 0.1136 0.2711  1 U 2.37, 4 Th 2.55-2.58
N 0.5755 0.8864 0.7289  1 U 2.37, 4 Th 2.55-2.58
N 0.7326 0.7326 0.2588  1 U 2.43, 5 Th 2.55-2.70
N 0.8864 0.5755 0.7289  1 U 2.37, 4 Th 2.55-2.58

=====

A plane-wave DFT calculation with PBE was carried out for Al2AsRu after structural relaxation.

Space group   Pmmm (47)
Energy of formation   -0.29 eV/atom

Unit cell a=3.2094 b=3.2401 c=5.7548 alpha=90.00 beta=90.00 gamma=90.00
Last column: nearest neighbours and their distance in Å.
Fractional coordinates of all 4 atoms:
Al 0.0000 0.0000 0.2372  4 Ru 2.66, 1 Al 2.73, 4 As 2.74
Al 0.0000 0.0000 0.7628  4 Ru 2.66, 1 Al 2.73, 4 As 2.74
As 0.5000 0.5000 0.5000  8 Al 2.74, 2 Ru 2.88
Ru 0.5000 0.5000 0.0000  8 Al 2.66, 2 As 2.88

=====

A plane-wave DFT calculation with PBE was carried out for ZnReMo2 after structural relaxation.

Space group   P4mm (99)
Energy of formation   0.22 eV/atom

Unit cell a=3.2700 b=3.2700 c=5.6820 alpha=90.00 beta=90.00 gamma=90.00
Last column: nearest neighbours and their distance in Å.
Fractional coordinates of all 4 atoms:
Zn 0.0000 0.0000 0.0000  4 Re 2.69, 6 Mo 2.69-2.86
Re 0.5000 0.5000 0.7591  4 Zn 2.69, 6 Mo 2.73-2.93
Mo 0.0000 0.0000 0.5035  4 Re 2.73, 4 Mo 2.75, 2 Zn 2.82-2.86
Mo 0.5000 0.5000 0.2428  4 Zn 2.69, 4 Mo 2.75, 2 Re 2.75-2.93

=====

A plane-wave DFT calculation with PBE was carried out for TbNd3Ga2 after structural relaxation.

Space group   C2/m (12)
Energy relative to the lowest polymorph listed for this composition   0.060 eV/atom
Energy of formation   -0.34 eV/atom

Unit cell a=9.0791 b=9.0791 c=9.2992 alpha=112.64 beta=112.64 gamma=29.21
Last column: nearest neighbours and their distance in Å.
Fractional coordinates of all 12 atoms:
Tb 0.1166 0.1166 0.1398  4 Ga 3.02-3.34
Tb 0.8834 0.8834 0.8602  4 Ga 3.02-3.34
Nd 0.0446 0.0446 0.6882  3 Ga 3.10-3.23, 3 Nd 3.22-3.42
Nd 0.3208 0.3208 0.0689  2 Ga 3.03-3.04, 2 Nd 3.25
Nd 0.3493 0.3493 0.5225  4 Ga 3.11-3.20
Nd 0.6507 0.6507 0.4775  4 Ga 3.11-3.20
Nd 0.6792 0.6792 0.9311  2 Ga 3.03-3.04, 2 Nd 3.25
Nd 0.9554 0.9554 0.3118  3 Ga 3.10-3.23, 3 Nd 3.22-3.42
Ga 0.2335 0.2335 0.7152  5 Nd 3.03-3.23, 2 Tb 3.34
Ga 0.4947 0.4947 0.8575  1 Ga 2.58
Ga 0.5053 0.5053 0.1425  1 Ga 2.58
Ga 0.7665 0.7665 0.2848  5 Nd 3.03-3.23, 2 Tb 3.34